(1)
Ba2Cd | Alexandria | PBE | relaxed; calculated volume = 48.3 Å³/atom; space-group type = Fd-3m (227); ΔE_f = 0.34 eV per atom
1.0
3.9701 -4.5101 -4.3681
2.3837 -6.5376 2.6001
-2.9948 -6.3142 -2.5190
Ba Cd
4 2
Cartesian
-1.0775 -5.3273 -1.7954
0.4199 -2.1702 -0.5359
2.4049 -4.4253 -2.7200
1.6118 -5.4391 0.7641
2.5193 -13.0215 -3.2153
1.6795 -8.6810 -2.1435

=====

(2)
Li4AcNd | Alexandria | PBE | relaxed; calculated volume = 27.1 Å³/atom; space-group type = F-43m (216); ΔE_f = 0.09 eV per atom
1.0
-1.5638 -4.0580 4.3157
3.7425 -1.0249 4.7415
-1.5540 1.9321 5.6027
Li Nd Ac
4 1 1
Cartesian
1.1578 -2.9200 6.3720
1.1626 0.0414 7.0082
-1.4608 -1.4581 6.7977
0.3895 -1.9648 9.1419
0.1561 -0.7877 3.6650
0.0000 0.0000 0.0000

=====

(3)
NiGe3Os | Alexandria | PBE | relaxed; calculated volume = 17.7 Å³/atom; space-group type = Pm-3m (221); ΔE_f = 0.93 eV per atom
1.0
4.4539 0.0000 0.0000
0.0000 4.4539 0.0000
0.0000 0.0000 4.4539
Ni Os Ge
1 1 3
Cartesian
0.0000 0.0000 0.0000
2.2269 2.2269 2.2269
0.0000 2.2269 0.0000
2.2269 0.0000 0.0000
0.0000 0.0000 2.2269

=====

(4)
YCd5Hg6 | Alexandria | PBE | relaxed; calculated volume = 23.7 Å³/atom; space-group type = C2/m (12); ΔE_f = -0.10 eV per atom
1.0
-9.4434 -0.3531 3.1523
-3.1968 -1.7746 -2.7944
-0.4428 -7.2906 1.3473
Cd Hg Y
5 6 1
Cartesian
-5.5587 -5.2830 1.9873
-7.5243 -4.1353 -0.2822
-2.4371 -5.9844 -0.9901
-1.2026 -3.0808 -0.4571
-6.3201 -1.0639 0.1789
-4.3901 -3.5466 -0.3816
-9.4509 -1.6094 0.2242
-7.4813 -2.8413 2.5654
-3.1893 -0.5183 0.1336
-8.6929 -5.8717 2.0867
-5.6017 -6.5770 -0.8603
0.0000 0.0000 0.0000

=====

(5)
BaTh2Se4 | Alexandria | PBE | relaxed; calculated volume = 31.3 Å³/atom; space-group type = Cmcm (63)
1.0
-0.5744 -1.0865 -4.1770
7.1975 -0.1411 1.3163
-0.9568 -13.8837 3.7430
Ba Th Se
2 4 8
Cartesian
5.1165 -4.0013 0.3373
0.5499 -11.1100 0.5450
1.6805 -0.9989 0.0287
1.3160 -6.2871 1.4544
4.3503 -8.8242 -0.5722
3.9859 -14.1125 0.8535
2.9797 -6.2367 -1.0568
-0.7656 -7.4851 -0.2170
2.4299 -12.5998 2.9433
2.6866 -8.8746 1.9390
3.2365 -2.5116 -2.0611
-0.2872 -0.5433 -2.0885
0.6099 -3.5550 0.8409
5.0565 -11.5563 0.0414

=====

(6)
Dy5Ag | Alexandria | PBE | relaxed; calculated volume = 29.4 Å³/atom; space-group type = Cmmm (65); ΔE_f = -0.07 eV per atom
1.0
3.6808 0.0000 0.0000
0.0000 5.4452 0.0000
0.0000 -2.7226 8.7966
Dy Ag
5 1
Cartesian
1.8404 2.7226 0.0000
1.8404 2.7226 6.3701
0.0000 0.0000 5.4676
0.0000 2.7226 3.3290
1.8404 0.0000 2.4265
0.0000 0.0000 0.0000

=====

(7)
BaCu2P2Se6 | Alexandria | PBE | relaxed; calculated volume = 27.5 Å³/atom; space-group type = P-1 (2)
1.0
6.4660 -0.7479 0.8062
2.4766 6.5115 -0.1660
1.2632 -4.2912 7.3372
Se Cu P Ba
6 2 2 1
Cartesian
9.5655 2.7429 5.6354
7.8291 0.0550 7.6638
5.3395 1.2026 2.3071
0.6403 -1.2705 2.3421
4.8663 0.2698 5.6704
2.3768 1.4174 0.3136
7.8832 -2.3187 7.6039
2.3227 3.7911 0.3736
6.8862 -0.2400 1.7442
3.3197 1.7124 6.2332
3.8646 -2.5196 4.0717

=====

(8)
Pm2YTc | Alexandria | PBE | relaxed; calculated volume = 27.9 Å³/atom; space-group type = P4/mmm (123); ΔE_f = 0.13 eV per atom
1.0
-3.1188 0.9779 1.3328
-0.9850 -3.3849 0.1787
3.3725 -0.5436 8.2908
Y Pm Tc
1 2 1
Cartesian
-0.3656 -1.4753 4.9012
2.7324 -0.4404 6.7171
0.6402 -0.1032 1.5737
-2.0519 -1.2035 0.7558

=====

Calculated M_tot, 0.0; 0.0; 0.0; 0.0; 0.0; 0.0; 0.0; 0.3 μB/cell (same order as the records).
Calculated VASP energy, -7.51; -16.02; -26.19; -14.10; -85.88; -26.28; -46.91; -25.80 eV for the cell shown (same order as the records).